Pr6InPt2 after structural relaxation. Source: the Alexandria database, functional GGA-PBE.

Unit cell a=8.943 b=8.943 c=8.943 alpha=104.14 beta=110.20 gamma=114.23
Fractional coordinates of all 18 atoms:
In 0.000 0.500 0.500
In 0.000 0.000 0.000
Pr 0.802 0.234 0.036
Pr 0.802 0.766 0.567
Pr 0.110 0.292 0.818
Pr 0.198 0.766 0.964
Pr 0.474 0.292 0.182
Pr 0.694 0.022 0.328
Pr 0.198 0.234 0.433
Pr 0.526 0.708 0.818
Pr 0.890 0.708 0.182
Pr 0.306 0.978 0.672
Pr 0.306 0.634 0.328
Pr 0.694 0.366 0.672
Pt 0.345 0.000 0.345
Pt 0.655 0.000 0.655
Pt 0.500 0.630 0.130
Pt 0.500 0.370 0.870

The calculation puts the size of the total moment at 0.00 μB/atom. The value obtained for the formation energy is -0.6234 eV/atom.